(1)
ScPtBr after structural relaxation. Source: Alexandria, functional PBE.

E_form (uncorrected): -949 meV per atom
SG: I4mm

Structure (extended XYZ):
```
3
Lattice="-1.631 1.631 6.350 1.631 -1.631 6.350 1.631 1.631 -6.350" Properties=species:S:1:pos:R:3 pbc="T T T"
Sc 0.000 0.000 0.000
Pt 0.000 0.000 4.899
Br 0.000 0.000 8.202
```



(2)
ScPtBr2 after structural relaxation. Source: Alexandria, functional PBE.

E_form (uncorrected): -336 meV per atom
SG: Pmmm

Structure (extended XYZ):
```
4
Lattice="3.538 0.000 0.000 0.000 4.237 0.000 0.000 0.000 5.596" Properties=species:S:1:pos:R:3 pbc="T T T"
Sc 0.000 0.000 0.000
Pt 1.769 0.000 2.798
Br 0.000 2.118 2.798
Br 1.769 2.118 0.000
```



(3)
ScPtBr4 after structural relaxation. Source: Alexandria, functional PBE.

E_form (uncorrected): 677 meV per atom
SG: F-43m

Structure (extended XYZ):
```
6
Lattice="0.000 4.221 4.221 4.221 0.000 4.221 4.221 4.221 0.000" Properties=species:S:1:pos:R:3 pbc="T T T"
Sc 0.000 0.000 0.000
Pt 2.111 2.111 2.111
Br 5.273 3.170 3.170
Br 3.170 5.273 3.170
Br 3.170 3.170 5.273
Br 5.273 5.273 5.273
```



(4)
ScPtBr after structural relaxation. Source: Alexandria, functional PBE.

E_form (uncorrected): -722 meV per atom
SG: F-43m

Structure (extended XYZ):
```
3
Lattice="0.000 3.256 3.256 3.256 0.000 3.256 3.256 3.256 0.000" Properties=species:S:1:pos:R:3 pbc="T T T"
Sc 0.000 0.000 0.000
Pt 1.628 1.628 1.628
Br 4.884 4.884 4.884
```



(5)
ScPtBr after structural relaxation. Source: Alexandria, functional PBE.

E_form (uncorrected): -485 meV per atom
SG: F-43m

Structure (extended XYZ):
```
3
Lattice="0.000 3.272 3.272 3.272 0.000 3.272 3.272 3.272 0.000" Properties=species:S:1:pos:R:3 pbc="T T T"
Sc 0.000 0.000 0.000
Pt 4.907 4.907 4.907
Br 3.272 3.272 3.272
```



(6)
Sc4PtBr5 after structural relaxation. Source: Alexandria, functional PBE.

E_form (uncorrected): -1395 meV per atom
SG: C2/m

Structure (extended XYZ):
```
10
Lattice="8.875 -1.902 0.000 8.875 1.902 0.000 -1.716 0.000 7.931" Properties=species:S:1:pos:R:3 pbc="T T T"
Sc -0.301 0.000 1.754
Sc 4.647 0.000 7.331
Sc 11.386 0.000 0.600
Sc 16.335 0.000 6.177
Pt 8.875 0.000 0.000
Br 2.418 0.000 2.590
Br 1.682 0.000 6.689
Br 8.017 0.000 3.966
Br 14.351 0.000 1.243
Br 13.615 0.000 5.341
```



(7)
ScPtBr2 after structural relaxation. Source: Alexandria, functional PBE.

E_form (uncorrected): -291 meV per atom
SG: Fm-3m

Structure (extended XYZ):
```
4
Lattice="0.000 3.437 3.437 3.437 0.000 3.437 3.437 3.437 0.000" Properties=species:S:1:pos:R:3 pbc="T T T"
Sc 0.000 0.000 0.000
Pt 3.437 3.437 3.437
Br 1.719 1.719 1.719
Br 5.156 5.156 5.156
```



(8)
ScPtBr3 after structural relaxation. Source: Alexandria, functional PBE.

E_form (uncorrected): -256 meV per atom
SG: Pm-3m

Structure (extended XYZ):
```
5
Lattice="5.227 0.000 0.000 0.000 5.227 0.000 0.000 0.000 5.227" Properties=species:S:1:pos:R:3 pbc="T T T"
Sc 0.000 0.000 0.000
Pt 2.614 2.614 2.614
Br 0.000 0.000 2.614
Br 0.000 2.614 0.000
Br 2.614 0.000 0.000
```



(9)
ScPtBr2 after structural relaxation. Source: Alexandria, functional PBE.

E_form (uncorrected): -310 meV per atom
SG: F-43m

Structure (extended XYZ):
```
4
Lattice="0.000 3.473 3.473 3.473 0.000 3.473 3.473 3.473 0.000" Properties=species:S:1:pos:R:3 pbc="T T T"
Sc 0.000 0.000 0.000
Pt 5.210 5.210 5.210
Br 1.737 1.737 1.737
Br 3.473 3.473 3.473
```



(10)
ScPt3Br after structural relaxation. Source: Alexandria, functional PBE.

E_form (uncorrected): 760 meV per atom
SG: Pm-3m

Structure (extended XYZ):
```
5
Lattice="4.906 0.000 0.000 0.000 4.906 0.000 0.000 0.000 4.906" Properties=species:S:1:pos:R:3 pbc="T T T"
Sc 0.000 0.000 0.000
Pt 0.000 0.000 2.453
Pt 0.000 2.453 0.000
Pt 2.453 0.000 0.000
Br 2.453 2.453 2.453
```



(11)
ScPtBr2 after structural relaxation. Source: Alexandria, functional PBE.

E_form (uncorrected): -845 meV per atom
SG: Cm

Structure (extended XYZ):
```
4
Lattice="4.497 -1.745 0.000 4.497 1.745 0.000 -2.600 0.000 7.437" Properties=species:S:1:pos:R:3 pbc="T T T"
Sc 0.000 0.000 0.000
Pt 6.402 0.000 0.870
Br 1.531 0.000 5.478
Br 4.008 0.000 2.126
```



(12)
ScPtBr after structural relaxation. Source: Alexandria, functional PBE.

E_form (uncorrected): -1053 meV per atom
SG: P3m1

Structure (extended XYZ):
```
3
Lattice="3.666 0.000 0.000 -1.833 3.175 0.000 0.000 0.000 6.243" Properties=species:S:1:pos:R:3 pbc="T T T"
Sc 0.000 0.000 0.000
Pt 0.000 2.117 4.747
Br 1.833 1.058 1.857
```



Among the records above, which one has the highest E_form (uncorrected)? ScPt3Br



What is the formula in the sixth record? Sc4PtBr5



What is the formula in the tenth record? ScPt3Br